1.
# CsZnBrF2 | Alexandria | PBE-GGA | relaxed
data_CsZnBrF2
_cell_length_a 4.143
_cell_length_b 14.064
_cell_length_c 8.090
_cell_angle_alpha 90.00
_cell_angle_beta 90.00
_cell_angle_gamma 90.00
_symmetry_space_group_name_H-M 'C m c m'
_symmetry_Int_Tables_number 63
_symmetry_space_group_name_Hall '-C 2c 2'
loop_
_atom_site_label
_atom_site_fract_x
_atom_site_fract_y
_atom_site_fract_z
Cs1 0.000 0.231 0.250
Zn1 0.000 0.500 0.000
Br1 0.000 0.031 0.750
F1 0.000 0.369 0.538
# Polymorph energy (0 for the lowest one) in eV per formula unit: 0.000
# D(E_F) in states/eV/f.u.: 0.000


2.
# Cd3HgSe4 | Alexandria | PBE-GGA | relaxed
data_Cd3HgSe4
_cell_length_a 6.213
_cell_length_b 6.213
_cell_length_c 6.213
_cell_angle_alpha 90.00
_cell_angle_beta 90.00
_cell_angle_gamma 90.00
_symmetry_space_group_name_H-M 'P -4 3 m'
_symmetry_Int_Tables_number 215
_symmetry_space_group_name_Hall 'P -4 2 3'
loop_
_atom_site_label
_atom_site_fract_x
_atom_site_fract_y
_atom_site_fract_z
Cd1 0.000 0.000 0.500
Hg1 0.500 0.500 0.500
Se1 0.248 0.248 0.752
# Polymorph energy (0 for the lowest one) in eV per formula unit: 0.000
# D(E_F) in states/eV/f.u.: 0.644


3.
# Ce4MgRh12 | Alexandria | PBE-GGA | relaxed
data_Ce4MgRh12
_cell_length_a 8.373
_cell_length_b 8.373
_cell_length_c 8.373
_cell_angle_alpha 90.00
_cell_angle_beta 90.00
_cell_angle_gamma 90.00
_symmetry_space_group_name_H-M 'I m -3 m'
_symmetry_Int_Tables_number 229
_symmetry_space_group_name_Hall '-I 4 2 3'
loop_
_atom_site_label
_atom_site_fract_x
_atom_site_fract_y
_atom_site_fract_z
Ce1 0.250 0.250 0.250
Mg1 0.000 0.000 0.000
Rh1 0.000 0.000 0.293
Rh2 0.000 0.250 0.500
# Total DFT energy (no corrections) in eV/atom: -7.21
# D(E_F) in states/eV/f.u.: 22.822


no.,density (kg/m3)
1,4455
2,5911
3,10296